Entry 1:
Cs2GaI6Br: relaxed, PBE-GGA.

* total energy: -45.28 eV for the cell shown

The structure in CIF format:
```
data_Cs2GaI6Br
_cell_length_a 8.3760
_cell_length_b 8.3760
_cell_length_c 12.8424
_cell_angle_alpha 90.00
_cell_angle_beta 90.00
_cell_angle_gamma 90.00
_symmetry_space_group_name_H-M 'I 4/m m m'
_symmetry_Int_Tables_number 139
_symmetry_space_group_name_Hall '-I 4 2'
loop_
_atom_site_label
_atom_site_fract_x
_atom_site_fract_y
_atom_site_fract_z
_atom_site_occupancy
Cs1 0.0000 0.5000 0.2500 1
Ga1 0.0000 0.0000 0.0000 1
I1 0.0000 0.0000 0.2191 1
I2 0.2400 0.2400 0.0000 1
Br1 0.0000 0.0000 0.5000 1
```

Entry 2:
Cs2InGaBr6: relaxed, PBE-GGA.

* total energy: -118.09 eV for the cell shown

The structure in CIF format:
```
data_Cs2InGaBr6
_cell_length_a 11.4325
_cell_length_b 11.4325
_cell_length_c 11.4325
_cell_angle_alpha 90.00
_cell_angle_beta 90.00
_cell_angle_gamma 90.00
_symmetry_space_group_name_H-M 'F m -3 m'
_symmetry_Int_Tables_number 225
_symmetry_space_group_name_Hall '-F 4 2 3'
loop_
_atom_site_label
_atom_site_fract_x
_atom_site_fract_y
_atom_site_fract_z
_atom_site_occupancy
Cs1 0.2500 0.2500 0.2500 1
In1 0.0000 0.0000 0.0000 1
Ga1 0.0000 0.0000 0.5000 1
Br1 0.0000 0.0000 0.2392 1
```

Entry 3:
CsInGaBr3: relaxed, PBE-GGA.

* total energy: -68.65 eV for the cell shown

The structure in CIF format:
```
data_CsInGaBr3
_cell_length_a 8.3334
_cell_length_b 14.4221
_cell_length_c 8.6120
_cell_angle_alpha 90.00
_cell_angle_beta 90.00
_cell_angle_gamma 90.00
_symmetry_space_group_name_H-M 'C m c m'
_symmetry_Int_Tables_number 63
_symmetry_space_group_name_Hall '-C 2c 2'
loop_
_atom_site_label
_atom_site_fract_x
_atom_site_fract_y
_atom_site_fract_z
_atom_site_occupancy
Cs1 0.0000 0.1874 0.2500 1
In1 0.0000 0.0939 0.7500 1
Ga1 0.0000 0.4993 0.2500 1
Br1 0.0000 0.3107 0.7500 1
Br2 0.2322 0.0000 0.0000 1
```

Entry 4:
CsIn2GaBr4: relaxed, PBE-GGA.

* total energy: -92.02 eV for the cell shown

The structure in CIF format:
```
data_CsIn2GaBr4
_cell_length_a 13.5918
_cell_length_b 13.5899
_cell_length_c 9.5910
_cell_angle_alpha 90.00
_cell_angle_beta 134.86
_cell_angle_gamma 90.00
_symmetry_space_group_name_H-M 'C 1 2/c 1'
_symmetry_Int_Tables_number 15
_symmetry_space_group_name_Hall '-C 2yc'
loop_
_atom_site_label
_atom_site_fract_x
_atom_site_fract_y
_atom_site_fract_z
_atom_site_occupancy
Cs1 0.2500 0.2500 0.0000 1
In1 0.0000 0.0000 0.0000 1
In2 0.2500 0.2500 0.5000 1
Ga1 0.0000 0.5000 0.0000 1
Br1 0.0002 0.2574 0.0164 1
Br2 0.2414 0.4929 0.4924 1
```

Entry 5:
Cs2InGaBr4: relaxed, PBE-GGA.

* total energy: -93.84 eV for the cell shown

The structure in CIF format:
```
data_Cs2InGaBr4
_cell_length_a 9.8005
_cell_length_b 9.8539
_cell_length_c 13.8875
_cell_angle_alpha 90.00
_cell_angle_beta 90.00
_cell_angle_gamma 90.00
_symmetry_space_group_name_H-M 'I m m a'
_symmetry_Int_Tables_number 74
_symmetry_space_group_name_Hall '-I 2b 2'
loop_
_atom_site_label
_atom_site_fract_x
_atom_site_fract_y
_atom_site_fract_z
_atom_site_occupancy
Cs1 0.0000 0.0000 0.0000 1
Cs2 0.2500 0.2500 0.2500 1
In1 0.0000 0.0000 0.5000 1
Ga1 0.2500 0.2500 0.7500 1
Br1 0.0000 0.0259 0.7425 1
Br2 0.2337 0.2500 0.5134 1
```

Entry 6:
CsGaIrBr2: relaxed, PBE-GGA.

* total energy: -16.45 eV for the cell shown

The structure in CIF format:
```
data_CsGaIrBr2
_cell_length_a 5.8567
_cell_length_b 5.8567
_cell_length_c 4.8459
_cell_angle_alpha 90.00
_cell_angle_beta 90.00
_cell_angle_gamma 90.00
_symmetry_space_group_name_H-M 'P 4/m m m'
_symmetry_Int_Tables_number 123
_symmetry_space_group_name_Hall '-P 4 2'
loop_
_atom_site_label
_atom_site_fract_x
_atom_site_fract_y
_atom_site_fract_z
_atom_site_occupancy
Cs1 0.0000 0.0000 0.0000 1
Ga1 0.5000 0.5000 0.5000 1
Ir1 0.5000 0.5000 0.0000 1
Br1 0.0000 0.5000 0.5000 1
```

Entry 7:
CsK2GaBr4: relaxed, PBE-GGA.

* total energy: -96.45 eV for the cell shown

The structure in CIF format:
```
data_CsK2GaBr4
_cell_length_a 5.0276
_cell_length_b 16.3734
_cell_length_c 16.0808
_cell_angle_alpha 90.00
_cell_angle_beta 90.00
_cell_angle_gamma 90.00
_symmetry_space_group_name_H-M 'C m c m'
_symmetry_Int_Tables_number 63
_symmetry_space_group_name_Hall '-C 2c 2'
loop_
_atom_site_label
_atom_site_fract_x
_atom_site_fract_y
_atom_site_fract_z
_atom_site_occupancy
Cs1 0.0000 0.1236 0.2500 1
K1 0.0000 0.3757 0.0498 1
Ga1 0.0000 0.1402 0.7500 1
Br1 0.0000 0.0000 0.0000 1
Br2 0.0000 0.2592 0.6175 1
Br3 0.0000 0.4603 0.2500 1
```

Entry 8:
Cs2KGaBr6: relaxed, PBE-GGA.

* total energy: -118.40 eV for the cell shown

The structure in CIF format:
```
data_Cs2KGaBr6
_cell_length_a 11.5035
_cell_length_b 11.5035
_cell_length_c 11.5035
_cell_angle_alpha 90.00
_cell_angle_beta 90.00
_cell_angle_gamma 90.00
_symmetry_space_group_name_H-M 'F m -3 m'
_symmetry_Int_Tables_number 225
_symmetry_space_group_name_Hall '-F 4 2 3'
loop_
_atom_site_label
_atom_site_fract_x
_atom_site_fract_y
_atom_site_fract_z
_atom_site_occupancy
Cs1 0.2500 0.2500 0.2500 1
K1 0.0000 0.0000 0.0000 1
Ga1 0.0000 0.0000 0.5000 1
Br1 0.0000 0.0000 0.2761 1
```

Entry 9:
CsKGaBr3: relaxed, PBE-GGA.

* total energy: -71.76 eV for the cell shown

The structure in CIF format:
```
data_CsKGaBr3
_cell_length_a 19.0441
_cell_length_b 5.6049
_cell_length_c 9.3760
_cell_angle_alpha 90.00
_cell_angle_beta 104.99
_cell_angle_gamma 90.00
_symmetry_space_group_name_H-M 'C 1 2/m 1'
_symmetry_Int_Tables_number 12
_symmetry_space_group_name_Hall '-C 2y'
loop_
_atom_site_label
_atom_site_fract_x
_atom_site_fract_y
_atom_site_fract_z
_atom_site_occupancy
Cs1 0.1475 0.0000 0.0741 1
K1 0.1546 0.0000 0.5686 1
Ga1 0.0018 0.5000 0.3418 1
Br1 0.0018 0.0000 0.2644 1
Br2 0.1538 0.5000 0.8038 1
Br3 0.1657 0.5000 0.3442 1
```

Entry 10:
CsKGa2Br8: relaxed, PBE-GGA.

* total energy: -107.99 eV for the cell shown

The structure in CIF format:
```
data_CsKGa2Br8
_cell_length_a 7.2542
_cell_length_b 7.2542
_cell_length_c 31.4378
_cell_angle_alpha 90.00
_cell_angle_beta 90.00
_cell_angle_gamma 120.00
_symmetry_space_group_name_H-M 'R -3'
_symmetry_Int_Tables_number 148
_symmetry_space_group_name_Hall '-R 3'
loop_
_atom_site_label
_atom_site_fract_x
_atom_site_fract_y
_atom_site_fract_z
_atom_site_occupancy
Cs1 0.0000 0.0000 0.0000 1
K1 0.0000 0.0000 0.5000 1
Ga1 0.0000 0.0000 0.2545 1
Br1 0.0000 0.0000 0.3297 1
Br2 0.0021 0.6163 0.4363 1
```

Entry 11:
Cs2LaGaBr6: relaxed, PBE-GGA.

* total energy: -144.67 eV for the cell shown

The structure in CIF format:
```
data_Cs2LaGaBr6
_cell_length_a 11.9619
_cell_length_b 11.9619
_cell_length_c 11.9619
_cell_angle_alpha 90.00
_cell_angle_beta 90.00
_cell_angle_gamma 90.00
_symmetry_space_group_name_H-M 'F m -3 m'
_symmetry_Int_Tables_number 225
_symmetry_space_group_name_Hall '-F 4 2 3'
loop_
_atom_site_label
_atom_site_fract_x
_atom_site_fract_y
_atom_site_fract_z
_atom_site_occupancy
Cs1 0.2500 0.2500 0.2500 1
La1 0.0000 0.0000 0.0000 1
Ga1 0.0000 0.0000 0.5000 1
Br1 0.0000 0.0000 0.2450 1
```

Entry 12:
CsMgGaBr4: relaxed, PBE-GGA.

* total energy: -42.56 eV for the cell shown

The structure in CIF format:
```
data_CsMgGaBr4
_cell_length_a 8.0537
_cell_length_b 7.7498
_cell_length_c 9.6648
_cell_angle_alpha 90.00
_cell_angle_beta 108.55
_cell_angle_gamma 90.00
_symmetry_space_group_name_H-M 'P 1 21/m 1'
_symmetry_Int_Tables_number 11
_symmetry_space_group_name_Hall '-P 2yb'
loop_
_atom_site_label
_atom_site_fract_x
_atom_site_fract_y
_atom_site_fract_z
_atom_site_occupancy
Cs1 0.2403 0.2500 0.4610 1
Mg1 0.2448 0.7500 0.1737 1
Ga1 0.2805 0.2500 0.9837 1
Br1 0.0313 0.7500 0.9205 1
Br2 0.1009 0.7500 0.3676 1
Br3 0.4534 0.0034 0.2182 1
```